The following is a DFT calculation (PBE-GGA) of Ti3Sb2Pd8 after structural relaxation.

Computed properties:
The calculated volume comes out at 17.8 Å³/atom. For the uncorrected formation energy, the calculation gives -0.3010 eV/atom. As for the total energy: -77.4 eV/cell. As for the space group: R-3m, No. 166.

a = 5.304 Å, b = 5.304 Å, c = 9.984 Å
α = 74.59°, β = 74.59°, γ = 60.00°
Atoms (fractional coordinates):
Pd1 0.719 0.218 0.344
Pd2 0.719 0.719 0.344
Pd3 0.275 0.275 0.174
Pd4 0.782 0.281 0.656
Pd5 0.281 0.782 0.656
Pd6 0.725 0.725 0.826
Pd7 0.218 0.719 0.344
Pd8 0.281 0.281 0.656
Ti1 0.811 0.811 0.566
Ti2 0.189 0.189 0.434
Ti3 0.000 0.000 0.000
Sb1 0.632 0.632 0.104
Sb2 0.368 0.368 0.896

=====

The following is a DFT calculation (PBE-GGA) of Ti2SbPd2 after structural relaxation.

Computed properties:
The calculated volume comes out at 17.5 Å³/atom. For the uncorrected formation energy, the calculation gives -0.4545 eV/atom. As for the total energy: -65.1 eV/cell. As for the space group: P4/mbm, No. 127.

a = 7.436 Å, b = 7.436 Å, c = 3.163 Å
α = 90.00°, β = 90.00°, γ = 90.00°
Atoms (fractional coordinates):
Ti1 0.335 0.165 0.500
Ti2 0.665 0.835 0.500
Ti3 0.835 0.335 0.500
Ti4 0.165 0.665 0.500
Sb1 0.000 0.000 0.000
Sb2 0.500 0.500 0.000
Pd1 0.370 0.870 0.000
Pd2 0.870 0.630 0.000
Pd3 0.130 0.370 0.000
Pd4 0.630 0.130 0.000

=====

The following is a DFT calculation (PBE-GGA) of Ti2SbPd after structural relaxation.

Computed properties:
The calculated volume comes out at 18.9 Å³/atom. For the uncorrected formation energy, the calculation gives -0.2051 eV/atom. As for the total energy: -51.9 eV/cell. As for the space group: I-42d, No. 122.

a = 7.344 Å, b = 7.344 Å, c = 5.903 Å
α = 51.54°, β = 51.54°, γ = 90.00°
Atoms (fractional coordinates):
Ti1 0.602 0.125 0.250
Ti2 0.148 0.625 0.250
Ti3 0.375 0.398 0.750
Ti4 0.875 0.852 0.750
Sb1 0.750 0.250 0.500
Sb2 0.000 0.000 0.000
Pd1 0.250 0.750 0.500
Pd2 0.500 0.500 0.000

=====

The following is a DFT calculation (PBE-GGA) of TiSb2Pd after structural relaxation.

Computed properties:
The calculated volume comes out at 21.5 Å³/atom. For the uncorrected formation energy, the calculation gives -0.1098 eV/atom. As for the total energy: -21.8 eV/cell. As for the space group: R-3m, No. 166.

a = 3.236 Å, b = 3.236 Å, c = 9.678 Å
α = 80.37°, β = 80.37°, γ = 60.00°
Atoms (fractional coordinates):
Pd1 0.000 0.000 0.000
Ti1 0.500 0.500 0.500
Sb1 0.091 0.091 0.728
Sb2 0.909 0.909 0.272

=====

The following is a DFT calculation (PBE-GGA) of Ti2SbPd after structural relaxation.

Computed properties:
The calculated volume comes out at 17.7 Å³/atom. For the uncorrected formation energy, the calculation gives -0.1940 eV/atom. As for the total energy: -25.9 eV/cell. As for the space group: F-43m, No. 216.

a = 4.645 Å, b = 4.645 Å, c = 4.646 Å
α = 60.01°, β = 60.01°, γ = 60.00°
Atoms (fractional coordinates):
Ti1 0.967 0.967 0.098
Ti2 0.217 0.217 0.348
Pd1 0.717 0.717 0.848
Sb1 0.467 0.467 0.598

=====

The following is a DFT calculation (PBE-GGA) of TiSbPd6 after structural relaxation.

Computed properties:
The calculated volume comes out at 15.9 Å³/atom. For the uncorrected formation energy, the calculation gives -0.4960 eV/atom. As for the total energy: -47.1 eV/cell. As for the space group: P4/mmm, No. 123.

a = 3.938 Å, b = 5.685 Å, c = 5.685 Å
α = 90.04°, β = 90.00°, γ = 90.00°
Atoms (fractional coordinates):
Pd1 0.000 0.240 0.240
Pd2 0.000 0.241 0.759
Pd3 0.000 0.759 0.241
Pd4 0.000 0.760 0.760
Pd5 0.500 0.500 0.000
Pd6 0.500 0.000 0.500
Sb1 0.500 0.500 0.500
Ti1 0.500 0.000 0.000

=====

The following is a DFT calculation (PBE-GGA) of TiSbPd5 after structural relaxation.

Computed properties:
The calculated volume comes out at 17.1 Å³/atom. For the uncorrected formation energy, the calculation gives -0.3258 eV/atom. As for the total energy: -80.5 eV/cell. As for the space group: C2/c, No. 15.

a = 5.307 Å, b = 5.307 Å, c = 9.574 Å
α = 85.31°, β = 85.31°, γ = 63.20°
Atoms (fractional coordinates):
Pd1 0.722 0.566 0.467
Pd2 0.434 0.278 0.033
Pd3 0.368 0.084 0.313
Pd4 0.173 0.827 0.750
Pd5 0.566 0.722 0.967
Pd6 0.632 0.916 0.687
Pd7 0.827 0.173 0.250
Pd8 0.084 0.368 0.813
Pd9 0.916 0.632 0.187
Pd10 0.278 0.434 0.533
Sb1 0.000 0.000 0.000
Sb2 0.000 0.000 0.500
Ti1 0.378 0.622 0.250
Ti2 0.622 0.378 0.750

=====

The following is a DFT calculation (PBE-GGA) of TiSbPd3 after structural relaxation.

Computed properties:
The calculated volume comes out at 17.8 Å³/atom. For the uncorrected formation energy, the calculation gives -0.4025 eV/atom. As for the total energy: -59.2 eV/cell. As for the space group: Pmmn, No. 59.

a = 4.335 Å, b = 5.398 Å, c = 7.617 Å
α = 90.00°, β = 90.00°, γ = 90.00°
Atoms (fractional coordinates):
Sb1 0.000 0.500 0.833
Sb2 0.500 0.000 0.167
Ti1 0.000 0.000 0.573
Ti2 0.500 0.500 0.427
Pd1 0.000 0.000 0.938
Pd2 0.000 0.257 0.292
Pd3 0.500 0.500 0.062
Pd4 0.500 0.757 0.708
Pd5 0.500 0.243 0.708
Pd6 0.000 0.743 0.292

=====

The following is a DFT calculation (PBE-GGA) of TiSb2Pd7 after structural relaxation.

Computed properties:
The calculated volume comes out at 19.5 Å³/atom. For the uncorrected formation energy, the calculation gives -0.2005 eV/atom. As for the total energy: -54.5 eV/cell. As for the space group: Cmmm, No. 65.

a = 3.202 Å, b = 8.833 Å, c = 8.833 Å
α = 128.74°, β = 90.00°, γ = 90.00°
Atoms (fractional coordinates):
Ti1 0.000 0.000 0.000
Pd1 0.000 0.205 0.795
Pd2 0.500 0.724 0.905
Pd3 0.500 0.500 0.500
Pd4 0.500 0.905 0.724
Pd5 0.500 0.095 0.276
Pd6 0.500 0.276 0.095
Pd7 0.000 0.795 0.205
Sb1 0.500 0.333 0.667
Sb2 0.500 0.667 0.333

=====

The following is a DFT calculation (PBE-GGA) of TiSb2Pd after structural relaxation.

Computed properties:
The calculated volume comes out at 21.8 Å³/atom. For the uncorrected formation energy, the calculation gives -0.0654 eV/atom. As for the total energy: -43.2 eV/cell. As for the space group: I-42d, No. 122.

a = 7.446 Å, b = 7.446 Å, c = 6.134 Å
α = 52.63°, β = 52.63°, γ = 90.00°
Atoms (fractional coordinates):
Sb1 0.875 0.894 0.750
Sb2 0.644 0.125 0.250
Sb3 0.375 0.356 0.750
Sb4 0.106 0.625 0.250
Ti1 0.500 0.500 0.000
Ti2 0.250 0.750 0.500
Pd1 0.000 0.000 0.000
Pd2 0.750 0.250 0.500

=====

The following is a DFT calculation (PBE-GGA) of Ti2SbPd2 after structural relaxation.

Computed properties:
The calculated volume comes out at 19.5 Å³/atom. For the uncorrected formation energy, the calculation gives -0.2407 eV/atom. As for the total energy: -31.5 eV/cell. As for the space group: I4/mmm, No. 139.

a = 4.205 Å, b = 4.205 Å, c = 6.252 Å
α = 70.35°, β = 70.35°, γ = 90.00°
Atoms (fractional coordinates):
Pd1 0.617 0.617 0.767
Pd2 0.383 0.383 0.233
Sb1 0.000 0.000 0.000
Ti1 0.250 0.750 0.500
Ti2 0.750 0.250 0.500

=====

The following is a DFT calculation (PBE-GGA) of Ti3SbPd7 after structural relaxation.

Computed properties:
The calculated volume comes out at 17.3 Å³/atom. For the uncorrected formation energy, the calculation gives -0.3447 eV/atom. As for the total energy: -67.9 eV/cell. As for the space group: C2/m, No. 12.

a = 4.874 Å, b = 6.775 Å, c = 6.775 Å
α = 90.73°, β = 111.65°, γ = 111.65°
Atoms (fractional coordinates):
Pd1 0.676 0.394 0.960
Pd2 0.324 0.606 0.040
Pd3 0.676 0.960 0.394
Pd4 0.821 0.830 0.830
Pd5 0.179 0.170 0.170
Pd6 0.324 0.040 0.606
Pd7 0.000 0.500 0.500
Sb1 0.500 0.500 0.500
Ti1 0.500 0.000 0.000
Ti2 0.000 0.767 0.233
Ti3 0.000 0.233 0.767

=====

The following is a DFT calculation (PBE-GGA) of TiSb3Pd after structural relaxation.

Computed properties:
The calculated volume comes out at 27.8 Å³/atom. For the uncorrected formation energy, the calculation gives 0.3615 eV/atom. As for the total energy: -23.6 eV/cell. As for the space group: Pm-3m, No. 221.

a = 5.182 Å, b = 5.182 Å, c = 5.182 Å
α = 90.00°, β = 90.00°, γ = 90.00°
Atoms (fractional coordinates):
Sb1 0.000 0.000 0.500
Sb2 0.000 0.500 0.000
Sb3 0.500 0.000 0.000
Pd1 0.500 0.500 0.500
Ti1 0.000 0.000 0.000

=====

The following is a DFT calculation (PBE-GGA) of Ti3Sb3Pd after structural relaxation.

Computed properties:
The calculated volume comes out at 20.3 Å³/atom. For the uncorrected formation energy, the calculation gives -0.4616 eV/atom. As for the total energy: -177.9 eV/cell. As for the space group: Pnma, No. 62.

a = 4.145 Å, b = 11.056 Å, c = 12.405 Å
α = 90.00°, β = 90.00°, γ = 90.00°
Atoms (fractional coordinates):
Sb1 0.250 0.275 0.877
Sb2 0.750 0.225 0.377
Sb3 0.750 0.382 0.092
Sb4 0.250 0.586 0.365
Sb5 0.250 0.618 0.908
Sb6 0.750 0.882 0.408
Sb7 0.750 0.914 0.865
Sb8 0.750 0.414 0.635
Sb9 0.250 0.086 0.135
Sb10 0.750 0.725 0.123
Sb11 0.250 0.775 0.623
Sb12 0.250 0.118 0.592
Pd1 0.750 0.953 0.189
Pd2 0.750 0.453 0.311
Pd3 0.250 0.047 0.811
Pd4 0.250 0.547 0.689
Ti1 0.250 0.558 0.134
Ti2 0.750 0.645 0.517
Ti3 0.750 0.690 0.762
Ti4 0.750 0.942 0.634
Ti5 0.250 0.810 0.262
Ti6 0.250 0.310 0.238
Ti7 0.750 0.190 0.738
Ti8 0.750 0.442 0.866
Ti9 0.750 0.145 0.983
Ti10 0.250 0.855 0.017
Ti11 0.250 0.058 0.366
Ti12 0.250 0.355 0.483

=====

The following is a DFT calculation (PBE-GGA) of Ti4SbPd7 after structural relaxation.

Computed properties:
The calculated volume comes out at 17.4 Å³/atom. For the uncorrected formation energy, the calculation gives -0.3228 eV/atom. As for the total energy: -75.9 eV/cell. As for the space group: C2/m, No. 12.

a = 4.843 Å, b = 8.556 Å, c = 5.795 Å
α = 79.67°, β = 65.30°, γ = 73.56°
Atoms (fractional coordinates):
Pd1 0.213 0.086 0.487
Pd2 0.358 0.539 0.745
Pd3 0.500 0.000 0.000
Pd4 0.065 0.652 0.217
Pd5 0.935 0.348 0.783
Pd6 0.787 0.914 0.513
Pd7 0.642 0.461 0.255
Ti1 0.586 0.231 0.597
Ti2 0.751 0.664 0.834
Ti3 0.249 0.336 0.166
Ti4 0.414 0.769 0.403
Sb1 0.000 0.000 0.000

=====

The following is a DFT calculation (PBE-GGA) of Ti3SbPd6 after structural relaxation.

Computed properties:
The calculated volume comes out at 17.0 Å³/atom. For the uncorrected formation energy, the calculation gives -0.4064 eV/atom. As for the total energy: -126.1 eV/cell. As for the space group: Cmc2_1, No. 36.

a = 4.749 Å, b = 8.607 Å, c = 8.607 Å
α = 105.38°, β = 90.00°, γ = 90.00°
Atoms (fractional coordinates):
Ti1 0.065 0.372 0.628
Ti2 0.491 0.870 0.662
Ti3 0.991 0.130 0.338
Ti4 0.491 0.338 0.130
Ti5 0.565 0.628 0.372
Ti6 0.991 0.662 0.870
Pd1 0.531 0.316 0.422
Pd2 0.600 0.267 0.733
Pd3 0.031 0.684 0.578
Pd4 0.688 0.054 0.946
Pd5 0.960 0.421 0.001
Pd6 0.188 0.946 0.054
Pd7 0.031 0.422 0.316
Pd8 0.100 0.733 0.267
Pd9 0.960 0.999 0.579
Pd10 0.460 0.579 0.999
Pd11 0.531 0.578 0.684
Pd12 0.460 0.001 0.421
Sb1 0.168 0.144 0.856
Sb2 0.668 0.856 0.144

=====

The following is a DFT calculation (PBE-GGA) of TiSbPd4 after structural relaxation.

Computed properties:
The calculated volume comes out at 17.9 Å³/atom. For the uncorrected formation energy, the calculation gives -0.3509 eV/atom. As for the total energy: -69.8 eV/cell. As for the space group: C2/m, No. 12.

a = 7.394 Å, b = 4.462 Å, c = 6.942 Å
α = 90.00°, β = 69.33°, γ = 90.00°
Atoms (fractional coordinates):
Pd1 0.793 0.500 0.164
Pd2 0.130 0.000 0.602
Pd3 0.293 0.000 0.164
Pd4 0.630 0.500 0.602
Pd5 0.207 0.500 0.836
Pd6 0.870 0.000 0.398
Pd7 0.370 0.500 0.398
Pd8 0.707 0.000 0.836
Ti1 0.000 0.500 0.500
Ti2 0.500 0.000 0.500
Sb1 0.500 0.500 0.000
Sb2 0.000 0.000 0.000

=====

The following is a DFT calculation (PBE-GGA) of TiSbPd after structural relaxation.

Computed properties:
The calculated volume comes out at 18.1 Å³/atom. For the uncorrected formation energy, the calculation gives -0.4341 eV/atom. As for the total energy: -18.5 eV/cell. As for the space group: P3m1, No. 156.

a = 3.061 Å, b = 4.532 Å, c = 4.532 Å
α = 120.00°, β = 90.00°, γ = 90.00°
Atoms (fractional coordinates):
Pd1 0.499 0.333 0.667
Sb1 0.501 0.667 0.333
Ti1 0.000 0.000 0.000

=====

The following is a DFT calculation (PBE-GGA) of Ti3SbPd after structural relaxation.

Computed properties:
The calculated volume comes out at 18.1 Å³/atom. For the uncorrected formation energy, the calculation gives -0.1983 eV/atom. As for the total energy: -68.0 eV/cell. As for the space group: C2/m, No. 12.

a = 5.178 Å, b = 4.994 Å, c = 7.527 Å
α = 109.37°, β = 98.53°, γ = 89.99°
Atoms (fractional coordinates):
Sb1 0.331 0.179 0.358
Sb2 0.669 0.821 0.642
Ti1 0.825 0.403 0.305
Ti2 0.175 0.597 0.695
Ti3 0.500 0.000 0.000
Ti4 0.825 0.901 0.305
Ti5 0.175 0.099 0.695
Ti6 0.000 0.000 0.000
Pd1 0.733 0.457 0.914
Pd2 0.267 0.543 0.086

=====

The following is a DFT calculation (PBE-GGA) of Ti2SbPd after structural relaxation.

Computed properties:
The calculated volume comes out at 17.3 Å³/atom. For the uncorrected formation energy, the calculation gives -0.4983 eV/atom. As for the total energy: -27.1 eV/cell. As for the space group: P4/mmm, No. 123.

a = 4.228 Å, b = 4.041 Å, c = 4.041 Å
α = 90.00°, β = 90.00°, γ = 90.00°
Atoms (fractional coordinates):
Sb1 0.500 0.000 0.000
Ti1 0.000 0.000 0.500
Ti2 0.000 0.500 0.000
Pd1 0.500 0.500 0.500